Density functional theory data (PBE-GGA) for a relaxed PaFeCuGe2 crystal.

Properties
- Density of states at the Fermi level: 5.8 states/eV/f.u.
- Energy of formation from the pure elements: -50.9 meV/atom
- Size of the total moment: 2.65 μB/f.u.
- V: 354 Å³ per cell

a b c (Å): 5.325 12.038 5.518
angles (deg): 90.00 90.00 90.00
Space group Cmme (No. 67)
Symmetry-distinct sites (fractional):
Pa: 0.000 0.250 0.221 (multiplicity 4)
Fe: 0.250 0.000 0.500 (multiplicity 4)
Cu: 0.000 0.000 0.000 (multiplicity 4)
Ge: 0.000 0.141 0.712 (multiplicity 8)